Entry 1:
Nd7SmHg2: optimized geometry, GGA-PBE.

Geometry as CIF:
```
data_Nd7SmHg2
_symmetry_space_group_name_H-M 'C m m m'
_symmetry_Int_Tables_number 65
_symmetry_space_group_name_Hall '-C 2 2'
_cell_length_a 9.2544
_cell_length_b 15.8623
_cell_length_c 5.4146
_cell_angle_alpha 90.00
_cell_angle_beta 90.00
_cell_angle_gamma 90.00
loop_
_atom_site_label
_atom_site_type_symbol
_atom_site_fract_x
_atom_site_fract_y
_atom_site_fract_z
Nd1 Nd 0.0000 0.0000 0.0000
Nd2 Nd 0.0000 0.2686 0.5000
Nd3 Nd 0.1828 0.3802 0.0000
Sm1 Sm 0.0000 0.5000 0.5000
Hg1 Hg 0.0000 0.1941 0.0000
```

---

Entry 2:
CePmDyAl: optimized geometry, GGA-PBE.

Geometry as CIF:
```
data_CePmDyAl
_symmetry_space_group_name_H-M 'F -4 3 m'
_symmetry_Int_Tables_number 216
_symmetry_space_group_name_Hall 'F -4 2 3'
_cell_length_a 7.5914
_cell_length_b 7.5914
_cell_length_c 7.5914
_cell_angle_alpha 90.00
_cell_angle_beta 90.00
_cell_angle_gamma 90.00
loop_
_atom_site_label
_atom_site_type_symbol
_atom_site_fract_x
_atom_site_fract_y
_atom_site_fract_z
Ce1 Ce 0.0000 0.0000 0.0000
Pm1 Pm 0.2500 0.2500 0.2500
Dy1 Dy 0.0000 0.0000 0.5000
Al1 Al 0.2500 0.2500 0.7500
```

---

| no. | energy of formation from the pure elements (eV per formula unit) |
| --- | --- |
| 1 | 2.56 |
| 2 | -0.01 |